CaErAl2Ga2 (PBE-GGA, relaxed); space-group type = No. 164; energy = -22.87 eV/cell; theoretical density = 5.077 Mg/m³; D(E_F) = 0.2848 states/eV/atom; size of the total moment = 0.00 μB/cell; formation energy from the elements = -2.8 eV per formula unit
1.0
-2.323 -2.638 2.612
2.716 -1.708 -2.981
5.857 0.081 5.289
Al Ca Ga Er
2 1 2 1
direct
0.667 0.333 0.267
0.333 0.667 0.733
0.000 0.000 0.000
0.667 0.333 0.731
0.333 0.667 0.269
0.000 0.000 0.500

=====

Ca2ErAl3Ga12 (PBE-GGA, relaxed); space-group type = No. 166; energy = -57.63 eV/cell; theoretical density = 4.886 Mg/m³; D(E_F) = 0.3491 states/eV/atom; size of the total moment = 0.00 μB/cell; formation energy from the elements = -1.5 eV per formula unit
1.0
1.956 -8.210 -6.586
5.381 -2.809 -8.817
7.770 -6.419 -3.608
Ga Al Ca Er
12 3 2 1
direct
0.450 0.871 0.871
0.129 0.550 0.129
0.871 0.450 0.871
0.412 0.412 0.814
0.129 0.129 0.550
0.814 0.412 0.412
0.871 0.871 0.450
0.588 0.186 0.588
0.588 0.588 0.186
0.412 0.814 0.412
0.550 0.129 0.129
0.186 0.588 0.588
0.500 0.000 0.000
0.000 0.000 0.500
0.000 0.500 0.000
0.361 0.361 0.361
0.639 0.639 0.639
0.000 0.000 0.000

=====

CaLaErAl (PBE-GGA, relaxed); space-group type = No. 216; energy = -15.48 eV/cell; theoretical density = 5.315 Mg/m³; D(E_F) = 0.7249 states/eV/atom; size of the total moment = 0.00 μB/cell; formation energy from the elements = -0.2 eV per formula unit
1.0
5.484 0.000 0.000
2.742 4.749 0.000
2.742 1.583 4.477
Al Er Ca La
1 1 1 1
direct
0.750 0.750 0.750
0.000 0.000 0.000
0.250 0.250 0.250
0.500 0.500 0.500

=====

NaCaErAl (PBE-GGA, relaxed); space-group type = No. 216; energy = -11.66 eV/cell; theoretical density = 3.901 Mg/m³; D(E_F) = 0.9217 states/eV/atom; size of the total moment = 0.00 μB/cell; formation energy from the elements = 0.0 eV per formula unit
1.0
-4.874 1.816 -1.337
-2.012 -1.045 -4.868
-4.093 -3.436 -0.533
Er Na Ca Al
1 1 1 1
direct
0.750 0.750 0.750
0.000 0.000 0.000
0.250 0.250 0.250
0.500 0.500 0.500

=====

CaErAlO4 (PBE-GGA, relaxed); E_form (uncorrected) = -3202 meV per atom; space-group type = No. 107; energy = -52.55 eV/cell; theoretical density = 6.249 Mg/m³; D(E_F) = 0.0000 states/eV/atom; size of the total moment = 0.00 μB/cell
1.0
3.662 0.000 0.000
0.000 3.662 0.000
-1.831 -1.831 5.912
O Ca Al Er
4 1 1 1
direct
0.993 0.493 0.987
0.833 0.833 0.666
0.171 0.171 0.343
0.493 0.993 0.987
0.645 0.645 0.290
0.005 0.005 0.010
0.359 0.359 0.718

=====

CaErAlPb (PBE-GGA, relaxed); space-group type = No. 216; energy = -15.19 eV/cell; theoretical density = 6.873 Mg/m³; D(E_F) = 0.4959 states/eV/atom; size of the total moment = 0.00 μB/cell; formation energy from the elements = -1.2 eV per formula unit
1.0
5.323 0.000 0.000
2.662 4.610 0.000
2.662 1.537 4.347
Er Ca Pb Al
1 1 1 1
direct
0.000 0.000 0.000
0.500 0.500 0.500
0.250 0.250 0.250
0.750 0.750 0.750

=====

Ca2ErAl3Pt4 (PBE-GGA, relaxed); space-group type = No. 115; energy = -53.99 eV/cell; theoretical density = 8.926 Mg/m³; D(E_F) = 0.5374 states/eV/atom; size of the total moment = 0.00 μB/cell; formation energy from the elements = -10.0 eV per formula unit
1.0
4.381 0.000 0.000
0.000 4.381 0.000
0.000 0.000 10.747
Er Al Ca Pt
1 3 2 4
direct
0.500 0.500 0.500
0.000 0.000 0.500
0.500 0.000 0.884
0.000 0.500 0.116
0.500 0.000 0.226
0.000 0.500 0.774
0.500 0.000 0.652
0.500 0.500 0.000
0.000 0.000 0.000
0.000 0.500 0.348

=====

CaTbErAl (PBE-GGA, relaxed); space-group type = No. 216; energy = -15.11 eV/cell; theoretical density = 5.948 Mg/m³; D(E_F) = 0.7140 states/eV/atom; size of the total moment = 0.00 μB/cell; formation energy from the elements = -0.2 eV per formula unit
1.0
5.375 0.000 0.000
2.687 4.655 0.000
2.687 1.552 4.388
Al Ca Er Tb
1 1 1 1
direct
0.750 0.750 0.750
0.250 0.250 0.250
0.500 0.500 0.500
0.000 0.000 0.000

=====

CaErTmAl (PBE-GGA, relaxed); space-group type = No. 216; energy = -14.88 eV/cell; theoretical density = 6.225 Mg/m³; D(E_F) = 0.7750 states/eV/atom; size of the total moment = 0.00 μB/cell; formation energy from the elements = -0.1 eV per formula unit
1.0
-0.902 4.680 2.405
-4.921 2.068 0.054
-2.775 0.168 4.557
Al Ca Er Tm
1 1 1 1
direct
0.250 0.250 0.250
0.750 0.750 0.750
0.000 0.000 0.000
0.500 0.500 0.500

=====

CaErAl2Zn2 (PBE-GGA, relaxed); space-group type = No. 164; energy = -18.85 eV/cell; theoretical density = 5.049 Mg/m³; D(E_F) = 0.5643 states/eV/atom; size of the total moment = 0.00 μB/cell; formation energy from the elements = -2.3 eV per formula unit
1.0
4.531 0.000 0.000
-2.265 3.924 0.000
0.000 0.000 7.254
Al Zn Er Ca
2 2 1 1
direct
0.667 0.333 0.282
0.333 0.667 0.718
0.667 0.333 0.715
0.333 0.667 0.285
0.000 0.000 0.500
0.000 0.000 0.000

=====

CaEu2Al (PBE-GGA, relaxed); distance to the lowest polymorph of the same formula = 0.083 eV per atom; space-group type = No. 225; energy = -26.44 eV/cell; theoretical density = 4.790 Mg/m³; D(E_F) = 2.8475 states/eV/atom; size of the total moment = 14.60 μB/cell; formation energy from the elements = -0.2 eV per formula unit
1.0
5.666 0.000 0.000
2.833 4.907 0.000
2.833 1.636 4.626
Eu Al Ca
2 1 1
direct
0.250 0.250 0.250
0.750 0.750 0.750
0.000 0.000 0.000
0.500 0.500 0.500

=====

CaEu2Al (PBE-GGA, relaxed); distance to the lowest polymorph of the same formula = 0.086 eV per atom; space-group type = No. 123; energy = -26.43 eV/cell; theoretical density = 4.782 Mg/m³; D(E_F) = 2.9808 states/eV/atom; size of the total moment = 14.78 μB/cell; formation energy from the elements = -0.1 eV per formula unit
1.0
-0.639 1.408 4.791
-3.515 -3.590 0.587
3.581 -3.271 1.438
Eu Al Ca
2 1 1
direct
0.000 0.000 0.500
0.000 0.500 0.000
0.500 0.500 0.500
0.500 0.000 0.000

=====

CaEu2Al (PBE-GGA, relaxed); distance to the lowest polymorph of the same formula = 0.143 eV per atom; space-group type = No. 166; energy = -26.21 eV/cell; theoretical density = 4.289 Mg/m³; D(E_F) = 2.7029 states/eV/atom; size of the total moment = 14.85 μB/cell; formation energy from the elements = 0.1 eV per formula unit
1.0
3.812 0.000 0.000
1.906 3.301 0.000
1.906 1.100 11.412
Ca Al Eu
1 1 2
direct
0.500 0.500 0.500
0.000 0.000 0.000
0.264 0.264 0.208
0.736 0.736 0.792

=====

Ca2EuAl (PBE-GGA, relaxed); distance to the lowest polymorph of the same formula = 0.114 eV per atom; space-group type = No. 166; energy = -17.87 eV/cell; theoretical density = 3.036 Mg/m³; D(E_F) = 1.7071 states/eV/atom; size of the total moment = 7.56 μB/cell; formation energy from the elements = 0.2 eV per formula unit
1.0
-0.983 3.307 -1.573
-3.219 0.273 -1.985
-7.008 4.039 8.300
Ca Eu Al
2 1 1
direct
0.735 0.735 0.795
0.265 0.265 0.205
0.500 0.500 0.500
0.000 0.000 0.000

=====

CaEuAl2 (PBE-GGA, relaxed); space-group type = No. 123; energy = -20.59 eV/cell; theoretical density = 3.877 Mg/m³; D(E_F) = 0.8525 states/eV/atom; size of the total moment = 7.02 μB/cell; formation energy from the elements = -0.8 eV per formula unit
1.0
3.822 0.000 0.000
0.000 5.250 0.000
0.000 0.000 5.250
Al Ca Eu
2 1 1
direct
0.000 0.000 0.500
0.000 0.500 0.000
0.500 0.000 0.000
0.500 0.500 0.500

=====

Ca2EuAl (PBE-GGA, relaxed); distance to the lowest polymorph of the same formula = 0.040 eV per atom; space-group type = No. 123; energy = -18.16 eV/cell; theoretical density = 3.341 Mg/m³; D(E_F) = 3.1962 states/eV/atom; size of the total moment = 7.36 μB/cell; formation energy from the elements = -0.1 eV per formula unit
1.0
-4.929 1.646 0.004
-1.576 -4.719 -0.164
-0.049 -0.157 4.975
Eu Ca Al
1 2 1
direct
0.500 0.500 0.500
0.000 0.000 0.500
0.000 0.500 0.000
0.500 0.000 0.000

=====

CaEuAl (PBE-GGA, relaxed); distance to the lowest polymorph of the same formula = 0.147 eV per atom; space-group type = No. 216; energy = -16.01 eV/cell; theoretical density = 3.364 Mg/m³; D(E_F) = 3.7523 states/eV/atom; size of the total moment = 7.49 μB/cell; formation energy from the elements = 0.0 eV per formula unit
1.0
5.347 0.000 0.000
2.674 4.631 0.000
2.674 1.544 4.366
Ca Eu Al
1 1 1
direct
0.000 0.000 0.000
0.500 0.500 0.500
0.250 0.250 0.250

=====

Ca2EuAl (PBE-GGA, relaxed); distance to the lowest polymorph of the same formula = 0.054 eV per atom; space-group type = No. 225; energy = -18.11 eV/cell; theoretical density = 3.429 Mg/m³; D(E_F) = 0.5911 states/eV/atom; size of the total moment = 7.62 μB/cell; formation energy from the elements = -0.1 eV per formula unit
1.0
-3.840 -3.665 -1.845
0.628 -2.437 -5.024
1.264 -5.465 -0.333
Eu Ca Al
1 2 1
direct
0.000 0.000 0.000
0.750 0.750 0.750
0.250 0.250 0.250
0.500 0.500 0.500

=====

Ca2EuAl (PBE-GGA, relaxed); distance to the lowest polymorph of the same formula = 0.000 eV per atom; space-group type = No. 123; energy = -18.32 eV/cell; theoretical density = 3.141 Mg/m³; D(E_F) = 2.1670 states/eV/atom; size of the total moment = 8.17 μB/cell; formation energy from the elements = -0.3 eV per formula unit
1.0
3.731 0.000 0.000
0.000 3.731 0.000
0.000 0.000 9.844
Eu Al Ca
1 1 2
direct
0.500 0.500 0.500
0.500 0.500 0.000
0.000 0.000 0.188
0.000 0.000 0.812

=====

CaEu2Al (PBE-GGA, relaxed); distance to the lowest polymorph of the same formula = 0.000 eV per atom; space-group type = No. 123; energy = -26.78 eV/cell; theoretical density = 4.452 Mg/m³; D(E_F) = 2.7981 states/eV/atom; size of the total moment = 14.61 μB/cell; formation energy from the elements = -0.5 eV per formula unit
1.0
-2.338 3.049 0.302
-0.451 -0.719 3.760
7.326 5.426 1.916
Ca Eu Al
1 2 1
direct
0.500 0.500 0.500
0.000 0.000 0.808
0.000 0.000 0.192
0.500 0.500 0.000